1.
Computed, not measured: a relaxed structure of Sr3AcHg4 at the PBE level of DFT.

Summary:
V = 519 Å³/cell
DOS at the Fermi energy = 10.8 states/eV/cell
E_form = -0.53 eV per atom

abc: 16.942 5.701 5.701
angles: 90.00 109.61 90.00
Space group C2/m (No. 12)
One atom of each set of equivalent atoms:
1 Sr 0.000 0.000 0.000 [2 per cell]
2 Sr 0.249 0.000 0.249 [4 per cell]
3 Ac 0.000 0.500 0.500 [2 per cell]
4 Hg 0.124 0.000 0.625 [4 per cell]
5 Hg 0.124 0.500 0.125 [4 per cell]

2.
Computed, not measured: a relaxed structure of Pm3Ge7Os2 at the PBE level of DFT.

Summary:
V = 496 Å³/cell
DOS at the Fermi energy = 6.8 states/eV/cell
E_form = -0.53 eV per atom

abc: 4.394 25.841 4.371
angles: 90.00 90.00 90.00
Space group Cmmm (No. 65)
One atom of each set of equivalent atoms:
1 Pm 0.000 0.000 0.000 [2 per cell]
2 Pm 0.000 0.317 0.500 [4 per cell]
3 Ge 0.000 0.086 0.500 [4 per cell]
4 Ge 0.000 0.222 0.000 [4 per cell]
5 Ge 0.000 0.414 0.000 [4 per cell]
6 Ge 0.000 0.500 0.500 [2 per cell]
7 Os 0.000 0.128 0.000 [4 per cell]

3.
Computed, not measured: a relaxed structure of TmRhAu2 at the PBE level of DFT.

Summary:
V = 302 Å³/cell
DOS at the Fermi energy = 11.8 states/eV/cell
E_form = -0.52 eV per atom

abc: 6.711 6.711 6.711
angles: 90.00 90.00 90.00
Space group Fm-3m (No. 225)
One atom of each set of equivalent atoms:
1 Tm 0.000 0.000 0.000 [4 per cell]
2 Rh 0.000 0.000 0.500 [4 per cell]
3 Au 0.250 0.250 0.250 [8 per cell]

4.
Computed, not measured: a relaxed structure of Pm5Nd2ErMg at the PBE level of DFT.

Summary:
V = 1210 Å³/cell
DOS at the Fermi energy = 50.5 states/eV/cell
E_form = 0.09 eV per atom

abc: 5.550 20.256 10.765
angles: 90.00 90.00 90.00
Space group Cmc2_1 (No. 36)
One atom of each set of equivalent atoms:
1 Pm 0.000 0.000 0.000 [4 per cell]
2 Pm 0.000 0.121 0.250 [4 per cell]
3 Pm 0.000 0.211 0.949 [4 per cell]
4 Pm 0.000 0.212 0.552 [4 per cell]
5 Pm 0.000 0.485 0.250 [4 per cell]
6 Nd 0.000 0.385 0.540 [4 per cell]
7 Nd 0.000 0.385 0.961 [4 per cell]
8 Er 0.000 0.299 0.251 [4 per cell]
9 Mg 0.000 0.096 0.750 [4 per cell]

5.
Computed, not measured: a relaxed structure of DyAl7Au3 at the PBE level of DFT.

Summary:
V = 1199 Å³/cell
DOS at the Fermi energy = 11.0 states/eV/cell
E_form = -0.51 eV per atom

abc: 8.0966 8.0966 21.1262
angles: 90.00 90.00 120.00
Space group R-3c (No. 167, hexagonal axes)
One atom of each set of equivalent atoms:
1 Dy 0.0000 0.0000 0.0000 [6 per cell]
2 Al 0.0000 0.0000 0.2500 [6 per cell]
3 Al 0.0107 0.2069 0.1367 [36 per cell]
4 Au 0.0000 0.3237 0.2500 [18 per cell]

6.
Computed, not measured: a relaxed structure of La7Tb4Pr at the PBE level of DFT.

Summary:
V = 862 Å³/cell
DOS at the Fermi energy = 41.5 states/eV/cell
E_form = 0.19 eV per atom

abc: 16.437 6.134 9.723
angles: 90.00 118.40 90.00
Space group C2/m (No. 12)
One atom of each set of equivalent atoms:
1 La 0.000 0.000 0.000 [2 per cell]
2 La 0.089 0.500 0.458 [4 per cell]
3 La 0.213 0.500 0.890 [4 per cell]
4 La 0.222 0.500 0.250 [4 per cell]
5 Tb 0.066 0.000 0.702 [4 per cell]
6 Tb 0.168 0.000 0.366 [4 per cell]
7 Pr 0.000 0.500 0.000 [2 per cell]

7.
Computed, not measured: a relaxed structure of CePm3Pt2 at the PBE level of DFT.

Summary:
V = 720 Å³/cell
DOS at the Fermi energy = 40.8 states/eV/cell
E_form = -0.71 eV per atom

abc: 7.087 13.993 7.263
angles: 90.00 90.00 90.00
Space group Ibam (No. 72)
One atom of each set of equivalent atoms:
1 Ce 0.000 0.000 0.000 [4 per cell]
2 Pm 0.000 0.239 0.250 [8 per cell]
3 Pm 0.000 0.500 0.250 [4 per cell]
4 Pt 0.214 0.362 0.000 [8 per cell]

8.
Computed, not measured: a relaxed structure of Na2GaSn2 at the PBE level of DFT.

Summary:
V = 277 Å³/cell
DOS at the Fermi energy = 3.9 states/eV/cell
E_form = 0.11 eV per atom

abc: 4.350 4.350 14.648
angles: 90.00 90.00 90.00
Space group I4/mmm (No. 139)
One atom of each set of equivalent atoms:
1 Na 0.000 0.500 0.250 [4 per cell]
2 Ga 0.000 0.000 0.000 [2 per cell]
3 Sn 0.000 0.000 0.407 [4 per cell]

9.
Computed, not measured: a relaxed structure of Zr3MnAg3Se8 at the PBE level of DFT.

Summary:
V = 704 Å³/cell
DOS at the Fermi energy = 15.0 states/eV/cell
Energy relative to the elements, uncorrected = -0.74 eV/atom

abc: 13.265 7.652 8.231
angles: 90.00 122.60 90.00
Space group C2/m (No. 12)
One atom of each set of equivalent atoms:
1 Zr 0.000 0.000 0.000 [2 per cell]
2 Zr 0.250 0.250 0.000 [4 per cell]
3 Mn 0.000 0.500 0.000 [2 per cell]
4 Ag 0.000 0.500 0.500 [2 per cell]
5 Ag 0.250 0.250 0.500 [4 per cell]
6 Se 0.006 0.253 0.772 [8 per cell]
7 Se 0.241 0.500 0.228 [4 per cell]
8 Se 0.244 0.000 0.231 [4 per cell]

10.
Computed, not measured: a relaxed structure of Nd2Er3Pb2 at the PBE level of DFT.

Summary:
V = 445 Å³/cell
DOS at the Fermi energy = 17.3 states/eV/cell
E_form = -0.32 eV per atom

abc: 12.307 4.482 8.654
angles: 90.00 111.18 90.00
Space group C2/m (No. 12)
One atom of each set of equivalent atoms:
1 Nd 0.135 0.000 0.290 [4 per cell]
2 Er 0.000 0.500 0.500 [2 per cell]
3 Er 0.121 0.500 0.940 [4 per cell]
4 Pb 0.169 0.000 0.706 [4 per cell]

11.
Computed, not measured: a relaxed structure of Tl4SnHg4 at the PBE level of DFT.

Summary:
V = 545 Å³/cell
DOS at the Fermi energy = 7.0 states/eV/cell
E_form = 0.03 eV per atom

abc: 6.219 6.219 14.091
angles: 90.00 90.00 90.00
Space group I-42m (No. 121)
One atom of each set of equivalent atoms:
1 Tl 0.223 0.223 0.313 [8 per cell]
2 Sn 0.000 0.000 0.500 [2 per cell]
3 Hg 0.187 0.187 0.081 [8 per cell]

12.
Computed, not measured: a relaxed structure of KHf3Ge at the PBE level of DFT.

Summary:
V = 116 Å³/cell
DOS at the Fermi energy = 8.6 states/eV/cell
E_form = 2.20 eV per atom

abc: 4.881 4.881 4.881
angles: 90.00 90.00 90.00
Space group Pm-3m (No. 221)
One atom of each set of equivalent atoms:
1 K 0.000 0.000 0.000 [1 per cell]
2 Hf 0.000 0.000 0.500 [3 per cell]
3 Ge 0.500 0.500 0.500 [1 per cell]

13.
Computed, not measured: a relaxed structure of SrPaB2O8 at the PBE level of DFT.

Summary:
V = 261 Å³/cell
DOS at the Fermi energy = 8.4 states/eV/cell
Energy relative to the elements, uncorrected = -2.28 eV/atom

abc: 4.764 4.764 11.514
angles: 90.00 90.00 90.00
Space group I-4 (No. 82)
One atom of each set of equivalent atoms:
1 Sr 0.000 0.000 0.000 [2 per cell]
2 Pa 0.000 0.500 0.750 [2 per cell]
3 B 0.000 0.000 0.500 [2 per cell]
4 B 0.000 0.500 0.250 [2 per cell]
5 O 0.073 0.238 0.577 [8 per cell]
6 O 0.118 0.747 0.190 [8 per cell]

14.
Computed, not measured: a relaxed structure of Ho5Mg4Cu at the PBE level of DFT.

Summary:
V = 256 Å³/cell
DOS at the Fermi energy = 11.8 states/eV/cell
E_form = -0.09 eV per atom

abc: 3.628 3.628 19.415
angles: 90.00 90.00 90.00
Space group P4/mmm (No. 123)
One atom of each set of equivalent atoms:
1 Ho 0.000 0.000 0.000 [1 per cell]
2 Ho 0.000 0.000 0.207 [2 per cell]
3 Ho 0.000 0.000 0.416 [2 per cell]
4 Mg 0.500 0.500 0.104 [2 per cell]
5 Mg 0.500 0.500 0.309 [2 per cell]
6 Cu 0.500 0.500 0.500 [1 per cell]

15.
Computed, not measured: a relaxed structure of Pr2Sm7Y3 at the PBE level of DFT.

Summary:
V = 410 Å³/cell
DOS at the Fermi energy = 15.9 states/eV/cell
E_form = 0.08 eV per atom

abc: 5.902 3.652 19.073
angles: 90.00 93.65 90.00
Space group P2/m (No. 10)
One atom of each set of equivalent atoms:
1 Pr 0.204 0.000 0.296 [2 per cell]
2 Sm 0.177 0.500 0.143 [2 per cell]
3 Sm 0.242 0.000 0.463 [2 per cell]
4 Sm 0.322 0.000 0.823 [2 per cell]
5 Sm 0.500 0.500 0.000 [1 per cell]
6 Y 0.000 0.000 0.000 [1 per cell]
7 Y 0.282 0.500 0.631 [2 per cell]

16.
Computed, not measured: a relaxed structure of NdSmAg2Te4 at the PBE level of DFT.

Summary:
V = 514 Å³/cell
DOS at the Fermi energy = 2.2 states/eV/cell
Energy relative to the elements, uncorrected = -0.74 eV/atom

abc: 7.597 7.615 8.889
angles: 90.00 90.00 90.00
Space group I222 (No. 23)
One atom of each set of equivalent atoms:
1 Nd 0.000 0.000 0.000 [2 per cell]
2 Sm 0.000 0.000 0.500 [2 per cell]
3 Ag 0.000 0.500 0.158 [4 per cell]
4 Te 0.239 0.254 0.325 [8 per cell]

17.
Computed, not measured: a relaxed structure of CrSbS2 at the PBE level of DFT.

Summary:
V = 76 Å³/cell
DOS at the Fermi energy = 5.6 states/eV/cell
Energy relative to the elements, uncorrected = 0.44 eV/atom

abc: 3.790 3.790 5.305
angles: 90.00 90.00 90.00
Space group P4/mmm (No. 123)
One atom of each set of equivalent atoms:
1 Cr 0.000 0.000 0.000 [1 per cell]
2 Sb 0.500 0.500 0.500 [1 per cell]
3 S 0.000 0.000 0.500 [1 per cell]
4 S 0.500 0.500 0.000 [1 per cell]

18.
Computed, not measured: a relaxed structure of Pm5Er8In at the PBE level of DFT.

Summary:
V = 908 Å³/cell
DOS at the Fermi energy = 37.0 states/eV/cell
E_form = 0.10 eV per atom

abc: 15.107 8.345 8.545
angles: 90.00 122.53 90.00
Space group C2 (No. 5)
One atom of each set of equivalent atoms:
1 Pm 0.000 0.000 0.000 [2 per cell]
2 Pm 0.050 0.663 0.280 [4 per cell]
3 Pm 0.100 0.330 0.958 [4 per cell]
4 Er 0.128 0.946 0.679 [4 per cell]
5 Er 0.178 0.546 0.716 [4 per cell]
6 Er 0.185 0.258 0.426 [4 per cell]
7 Er 0.190 0.727 0.068 [4 per cell]
8 In 0.000 0.284 0.500 [2 per cell]

19.
Computed, not measured: a relaxed structure of DyPu2Th at the PBE level of DFT.

Summary:
V = 353 Å³/cell
DOS at the Fermi energy = 50.8 states/eV/cell
E_form = 0.18 eV per atom

abc: 3.4835 3.4835 33.5965
angles: 90.00 90.00 120.00
Space group R-3m (No. 166, hexagonal axes)
One atom of each set of equivalent atoms:
1 Dy 0.0000 0.0000 0.0000 [3 per cell]
2 Pu 0.0000 0.0000 0.2484 [6 per cell]
3 Th 0.0000 0.0000 0.5000 [3 per cell]

20.
Computed, not measured: a relaxed structure of TlNi2Rh2 at the PBE level of DFT.

Summary:
V = 149 Å³/cell
DOS at the Fermi energy = 13.4 states/eV/cell
E_form = 0.25 eV per atom

abc: 7.126 7.126 2.943
angles: 90.00 90.00 90.00
Space group P4/mbm (No. 127)
One atom of each set of equivalent atoms:
1 Tl 0.000 0.000 0.000 [2 per cell]
2 Ni 0.120 0.380 0.000 [4 per cell]
3 Rh 0.171 0.671 0.500 [4 per cell]